(1)
! LaSm4Dy8 PBE-GGA relaxed; values from VASP
&SYSTEM
  ibrav = 0, nat = 13, ntyp = 3
/
ATOMIC_SPECIES
La 138.91 La.upf
Sm 150.36 Sm.upf
Dy 162.50 Dy.upf
CELL_PARAMETERS angstrom
5.5297 3.1925 4.5233
-5.5297 3.1925 4.5233
0.0000 -6.3851 4.5233
ATOMIC_POSITIONS crystal
La 0.0000 0.0000 0.0000
Sm 0.0000 0.0000 0.5000
Sm 0.0000 0.5000 0.0000
Sm 0.5000 0.0000 0.0000
Sm 0.5000 0.5000 0.5000
Dy 0.2615 0.2615 0.2615
Dy 0.2610 0.2610 0.7379
Dy 0.2610 0.7379 0.2610
Dy 0.2621 0.7390 0.7390
Dy 0.7379 0.2610 0.2610
Dy 0.7390 0.2621 0.7390
Dy 0.7390 0.7390 0.2621
Dy 0.7385 0.7385 0.7385
! total DFT energy (no corrections) = -4.150 eV/atom
! energy relative to the elements = 0.514 eV/atom

=====

(2)
! Nd3Pd2Au3 PBE-GGA relaxed; values from VASP
&SYSTEM
  ibrav = 0, nat = 8, ntyp = 3
/
ATOMIC_SPECIES
Nd 144.24 Nd.upf
Pd 106.42 Pd.upf
Au 196.97 Au.upf
CELL_PARAMETERS angstrom
9.3776 -1.9999 0.0000
9.3776 1.9999 0.0000
-0.8840 0.0000 4.9231
ATOMIC_POSITIONS crystal
Nd 0.0000 0.0000 0.0000
Nd 0.1474 0.1474 0.6049
Nd 0.8526 0.8526 0.3951
Pd 0.2397 0.2397 0.1868
Pd 0.7603 0.7603 0.8132
Au 0.3708 0.3708 0.9065
Au 0.5000 0.5000 0.5000
Au 0.6292 0.6292 0.0935
! total DFT energy (no corrections) = -5.042 eV/atom
! relative energy among the computed polymorphs = 81 meV/atom
! energy relative to the elements = -0.727 eV/atom

=====

(3)
! MnTl2HgCl6 PBE-GGA relaxed; values from VASP
&SYSTEM
  ibrav = 0, nat = 10, ntyp = 4
/
ATOMIC_SPECIES
Mn 54.94 Mn.upf
Tl 204.38 Tl.upf
Hg 200.59 Hg.upf
Cl 35.45 Cl.upf
CELL_PARAMETERS angstrom
7.2190 0.0000 0.0000
3.4749 6.3397 0.0000
3.4577 2.0666 6.0053
ATOMIC_POSITIONS crystal
Mn 0.0000 0.0000 0.0000
Tl 0.2433 0.2438 0.2423
Tl 0.7567 0.7562 0.7577
Hg 0.5000 0.5000 0.5000
Cl 0.1781 0.7629 0.3035
Cl 0.2354 0.6989 0.8218
Cl 0.3013 0.1777 0.7670
Cl 0.6987 0.8223 0.2330
Cl 0.7646 0.3011 0.1782
Cl 0.8219 0.2371 0.6965
! total DFT energy (no corrections) = -3.423 eV/atom
! formation energy (no corrections) = -895 meV/atom

=====

(4)
! BBr PBE-GGA relaxed; values from VASP
&SYSTEM
  ibrav = 0, nat = 4, ntyp = 2
/
ATOMIC_SPECIES
B 10.81 B.upf
Br 79.90 Br.upf
CELL_PARAMETERS angstrom
3.3126 0.0000 0.0000
1.2981 5.4539 0.0000
0.3527 1.2263 6.4760
ATOMIC_POSITIONS crystal
B 0.0000 0.0000 0.0000
B 0.4864 0.0525 0.9367
Br 0.2699 0.4034 0.7979
Br 0.8590 0.0098 0.2944
! total DFT energy (no corrections) = -3.980 eV/atom
! formation energy (no corrections) = 195 meV/atom
! relative energy among the computed polymorphs = 522 meV/atom

=====

(5)
! LiSn2F6 PBE-GGA relaxed; values from VASP
&SYSTEM
  ibrav = 0, nat = 18, ntyp = 3
/
ATOMIC_SPECIES
Li 6.94 Li.upf
Sn 118.71 Sn.upf
F 19.00 F.upf
CELL_PARAMETERS angstrom
5.5040 0.0000 0.0000
0.0000 6.4425 0.0000
-5.4906 0.0000 7.8841
ATOMIC_POSITIONS crystal
Li 0.0000 0.0000 0.0000
Li 0.0000 0.5000 0.5000
Sn 0.2662 0.0014 0.7658
Sn 0.2662 0.4986 0.2658
Sn 0.7338 0.5014 0.7342
Sn 0.7338 0.9986 0.2342
F 0.0160 0.1809 0.1824
F 0.0160 0.3191 0.6824
F 0.3391 0.1409 0.0005
F 0.3391 0.3591 0.5005
F 0.3474 0.6837 0.6807
F 0.3474 0.8163 0.1807
F 0.6526 0.1837 0.8193
F 0.6526 0.3163 0.3193
F 0.6609 0.6409 0.4995
F 0.6609 0.8591 0.9995
F 0.9840 0.6809 0.3176
F 0.9840 0.8191 0.8176
! total DFT energy (no corrections) = -4.737 eV/atom
! formation energy (no corrections) = -2387 meV/atom

=====

(6)
! NaCaY2Re PBE-GGA relaxed; values from VASP
&SYSTEM
  ibrav = 0, nat = 5, ntyp = 4
/
ATOMIC_SPECIES
Na 22.99 Na.upf
Ca 40.08 Ca.upf
Y 88.91 Y.upf
Re 186.21 Re.upf
CELL_PARAMETERS angstrom
5.4051 0.0000 0.0000
0.0000 5.4051 0.0000
0.0000 0.0000 5.8591
ATOMIC_POSITIONS crystal
Na 0.0000 0.0000 0.0000
Ca 0.5000 0.5000 0.0000
Y 0.0000 0.5000 0.5000
Y 0.5000 0.0000 0.5000
Re 0.5000 0.5000 0.5000
! total DFT energy (no corrections) = -5.377 eV/atom
! energy relative to the elements = 0.362 eV/atom

=====

(7)
! CsPa2Au2S6 PBE-GGA relaxed; values from VASP
&SYSTEM
  ibrav = 0, nat = 11, ntyp = 4
/
ATOMIC_SPECIES
Cs 132.91 Cs.upf
Pa 231.04 Pa.upf
Au 196.97 Au.upf
S 32.06 S.upf
CELL_PARAMETERS angstrom
7.4243 0.0000 0.0000
-3.7090 6.6411 0.0000
-3.6137 -2.1369 6.7221
ATOMIC_POSITIONS crystal
Cs 0.0000 0.0000 0.0000
Pa 0.3107 0.6543 0.9854
Pa 0.6893 0.3457 0.0146
Au 0.0685 0.3132 0.5111
Au 0.9315 0.6868 0.4889
S 0.1473 0.6657 0.2191
S 0.2886 0.9348 0.7817
S 0.4646 0.5299 0.7822
S 0.5354 0.4701 0.2178
S 0.7114 0.0652 0.2183
S 0.8527 0.3343 0.7809
! total DFT energy (no corrections) = -5.719 eV/atom
! formation energy (no corrections) = -1067 meV/atom

=====

(8)
! Sr3PmY2Te6 PBE-GGA relaxed; values from VASP
&SYSTEM
  ibrav = 0, nat = 12, ntyp = 4
/
ATOMIC_SPECIES
Sr 87.62 Sr.upf
Pm 145.00 Pm.upf
Y 88.91 Y.upf
Te 127.60 Te.upf
CELL_PARAMETERS angstrom
9.9988 -2.2533 0.0000
9.9988 2.2533 0.0000
-2.3645 0.0000 8.8823
ATOMIC_POSITIONS crystal
Sr 0.0000 0.0000 0.0000
Sr 0.3349 0.3349 0.6684
Sr 0.6651 0.6651 0.3316
Pm 0.0000 0.0000 0.5000
Y 0.3359 0.3359 0.1727
Y 0.6641 0.6641 0.8273
Te 0.1654 0.1654 0.5935
Te 0.1721 0.1721 0.0704
Te 0.4959 0.4959 0.2537
Te 0.5041 0.5041 0.7463
Te 0.8279 0.8279 0.9296
Te 0.8346 0.8346 0.4065
! total DFT energy (no corrections) = -4.986 eV/atom
! formation energy (no corrections) = -1521 meV/atom

=====

Please write out number 4 again, unchanged.
! BBr PBE-GGA relaxed; values from VASP
&SYSTEM
  ibrav = 0, nat = 4, ntyp = 2
/
ATOMIC_SPECIES
B 10.81 B.upf
Br 79.90 Br.upf
CELL_PARAMETERS angstrom
3.3126 0.0000 0.0000
1.2981 5.4539 0.0000
0.3527 1.2263 6.4760
ATOMIC_POSITIONS crystal
B 0.0000 0.0000 0.0000
B 0.4864 0.0525 0.9367
Br 0.2699 0.4034 0.7979
Br 0.8590 0.0098 0.2944
! total DFT energy (no corrections) = -3.980 eV/atom
! formation energy (no corrections) = 195 meV/atom
! relative energy among the computed polymorphs = 522 meV/atom